No. 1
Material: Ac3Ge2Ir
Method: DFT, PBE-GGA
State: optimized geometry

Geometry as extended XYZ:
```
12
Lattice="4.2352 2.4452 6.0907 -4.2352 2.4452 6.0907 0.0000 -4.8904 6.0907" Properties=species:S:1:pos:R:3 pbc="T T T"
Ac -2.8860 -0.1083 7.6133
Ac -1.3492 -2.5535 10.6587
Ac 1.5368 -2.4452 7.6133
Ac -1.5368 2.4452 10.6587
Ac 1.3492 2.5535 7.6133
Ac 2.8860 0.1083 10.6587
Ge 0.0000 0.0000 2.6595
Ge 0.0000 0.0000 6.4765
Ge 0.0000 0.0000 11.7955
Ge 0.0000 0.0000 15.6124
Ir 0.0000 0.0000 0.0000
Ir 0.0000 0.0000 9.1360
```

Output
Space group: R-3c, No. 167
Relative energy among the computed polymorphs: 10.4 kJ/mol of atoms

***

No. 2
Material: Ac3GeIr3
Method: DFT, PBE-GGA
State: optimized geometry

Geometry as extended XYZ:
```
14
Lattice="5.7546 -2.1560 0.0000 5.7546 2.1560 0.0000 -5.3789 0.0000 14.4272" Properties=species:S:1:pos:R:3 pbc="T T T"
Ac -1.8192 0.0000 5.5113
Ac -3.7796 0.0000 13.3414
Ac 1.5598 0.0000 3.1518
Ac 4.5705 0.0000 11.2754
Ac 9.9098 0.0000 1.0858
Ac 7.9495 0.0000 8.9159
Ge -0.2561 0.0000 8.8629
Ge 6.3864 0.0000 5.5643
Ir 1.0690 0.0000 6.6483
Ir -0.5888 0.0000 13.3413
Ir 1.2184 0.0000 11.0036
Ir 4.9119 0.0000 3.4237
Ir 6.7191 0.0000 1.0859
Ir 5.0613 0.0000 7.7790
```

Output
Space group: C2/m, No. 12
Relative energy among the computed polymorphs: 0.0 kJ/mol of atoms

***

No. 3
Material: Ac2Ge2Ir3
Method: DFT, PBE-GGA
State: optimized geometry

Geometry as extended XYZ:
```
14
Lattice="2.1768 -9.5930 0.0000 2.1768 9.5930 0.0000 0.0000 0.0000 7.3811" Properties=species:S:1:pos:R:3 pbc="T T T"
Ac 2.1768 8.5630 5.5358
Ac 2.1768 6.5306 1.8453
Ac 2.1768 -6.5306 5.5358
Ac 2.1768 -8.5630 1.8453
Ge 2.1768 3.5255 0.4735
Ge 2.1768 3.5255 3.2170
Ge 2.1768 -3.5255 4.1641
Ge 2.1768 -3.5255 6.9076
Ir 2.1768 5.4954 5.5358
Ir 2.1768 1.1783 4.1910
Ir 2.1768 1.1783 6.8807
Ir 2.1768 -1.1783 0.5004
Ir 2.1768 -1.1783 3.1901
Ir 2.1768 -5.4954 1.8453
```

Output
Space group: Cmcm, No. 63
Relative energy among the computed polymorphs: 0.0 kJ/mol of atoms

***

No. 4
Material: AcGe3Ir5
Method: DFT, PBE-GGA
State: optimized geometry

Geometry as extended XYZ:
```
18
Lattice="2.0351 -6.4039 0.0000 2.0351 6.4039 0.0000 0.0000 0.0000 12.6018" Properties=species:S:1:pos:R:3 pbc="T T T"
Ac 2.0351 4.2558 9.4514
Ac 2.0351 -4.2558 3.1505
Ge 2.0351 4.9680 3.1505
Ge 2.0351 1.4815 0.5587
Ge 2.0351 1.4815 5.7422
Ge 2.0351 -1.4815 6.8596
Ge 2.0351 -1.4815 12.0431
Ge 2.0351 -4.9680 9.4514
Ir 0.0000 0.0000 0.0000
Ir 0.0000 0.0000 6.3009
Ir 2.0351 3.8347 0.8917
Ir 2.0351 3.8347 5.4092
Ir 2.0351 0.7116 8.1170
Ir 2.0351 0.7116 10.7857
Ir 2.0351 -0.7116 1.8161
Ir 2.0351 -0.7116 4.4848
Ir 2.0351 -3.8347 7.1926
Ir 2.0351 -3.8347 11.7102
```

Output
Space group: Cmcm, No. 63

***

No. 5
Material: Ac3Ge2Ir
Method: DFT, PBE-GGA
State: optimized geometry

Geometry as extended XYZ:
```
24
Lattice="12.6863 0.0000 0.0000 0.0000 4.5233 0.0000 0.0000 0.0000 12.4273" Properties=species:S:1:pos:R:3 pbc="T T T"
Ac 0.7358 1.1308 1.5863
Ac 1.4660 3.3925 6.8733
Ac 2.7813 1.1308 9.9669
Ac 3.5618 3.3925 3.7533
Ac 4.8772 1.1308 0.6597
Ac 5.6073 3.3925 7.8000
Ac 7.0790 1.1308 4.6273
Ac 7.8091 3.3925 11.7676
Ac 9.1245 1.1308 8.6740
Ac 9.9049 3.3925 2.4604
Ac 11.2203 1.1308 5.5539
Ac 11.9504 3.3925 10.8410
Ge 0.2996 3.3925 3.9011
Ge 2.5120 3.3925 12.3696
Ge 3.8312 1.1308 6.1560
Ge 6.0436 1.1308 10.1148
Ge 6.6427 3.3925 2.3125
Ge 8.8551 3.3925 6.2713
Ge 10.1743 1.1308 0.0577
Ge 12.3867 1.1308 8.5262
Ir 1.6497 1.1308 4.5537
Ir 4.6934 3.3925 10.7673
Ir 7.9929 1.1308 1.6600
Ir 11.0365 3.3925 7.8736
```

Output
Space group: Pnma, No. 62
Relative energy among the computed polymorphs: 0.0 kJ/mol of atoms

***

No. 6
Material: AcGeIr
Method: DFT, PBE-GGA
State: optimized geometry

Geometry as extended XYZ:
```
3
Lattice="4.3358 0.0000 0.0000 -2.1679 3.7549 0.0000 0.0000 0.0000 4.5084" Properties=species:S:1:pos:R:3 pbc="T T T"
Ac 0.0000 0.0000 0.0000
Ge 0.0000 2.5033 2.2542
Ir 2.1679 1.2516 2.2542
```

Output
Space group: P-6m2, No. 187
Relative energy among the computed polymorphs: 7.5 kJ/mol of atoms

***

No. 7
Material: Ac3GeIr
Method: DFT, PBE-GGA
State: optimized geometry

Geometry as extended XYZ:
```
5
Lattice="5.7543 0.0000 0.0000 0.0000 5.7543 0.0000 0.0000 0.0000 5.7543" Properties=species:S:1:pos:R:3 pbc="T T T"
Ac 0.0000 0.0000 2.8771
Ac 0.0000 2.8771 0.0000
Ac 2.8771 0.0000 0.0000
Ge 2.8771 2.8771 2.8771
Ir 0.0000 0.0000 0.0000
```

Output
Space group: Pm-3m, No. 221
Relative energy among the computed polymorphs: 29.7 kJ/mol of atoms

***

No. 8
Material: Ac3Ge2Ir2
Method: DFT, PBE-GGA
State: optimized geometry

Geometry as extended XYZ:
```
14
Lattice="4.3132 0.0000 0.0000 0.0000 4.5302 0.0000 0.0000 0.0000 18.9840" Properties=species:S:1:pos:R:3 pbc="T T T"
Ac 0.0000 0.0000 0.0000
Ac 0.0000 2.2651 5.9594
Ac 0.0000 2.2651 13.0246
Ac 2.1566 0.0000 3.5326
Ac 2.1566 0.0000 15.4514
Ac 2.1566 2.2651 9.4920
Ge 0.0000 0.0000 8.1970
Ge 0.0000 0.0000 10.7870
Ge 2.1566 2.2651 1.2950
Ge 2.1566 2.2651 17.6890
Ir 0.0000 2.2651 2.6468
Ir 0.0000 2.2651 16.3372
Ir 2.1566 0.0000 6.8452
Ir 2.1566 0.0000 12.1388
```

Output
Space group: Immm, No. 71
Relative energy among the computed polymorphs: 0.0 kJ/mol of atoms

***

No. 9
Material: AcGe4Ir4
Method: DFT, PBE-GGA
State: optimized geometry

Geometry as extended XYZ:
```
18
Lattice="6.2516 0.0000 0.0000 0.0000 6.2516 0.0000 0.0000 0.0000 8.4026" Properties=species:S:1:pos:R:3 pbc="T T T"
Ac 1.5629 4.6887 2.1006
Ac 4.6887 1.5629 6.3019
Ge 0.2391 1.5629 0.6836
Ge 1.5629 0.2391 4.8849
Ge 1.5629 2.8867 4.8849
Ge 2.8867 1.5629 0.6836
Ge 3.3649 4.6887 7.7190
Ge 4.6887 3.3649 3.5177
Ge 4.6887 6.0125 3.5177
Ge 6.0125 4.6887 7.7190
Ir 0.1724 1.5629 3.1834
Ir 1.5629 0.1724 7.3847
Ir 1.5629 2.9534 7.3847
Ir 2.9534 1.5629 3.1834
Ir 3.2982 4.6887 5.2191
Ir 4.6887 3.2982 1.0178
Ir 4.6887 6.0792 1.0178
Ir 6.0792 4.6887 5.2191
```

Output
Space group: P4_2/nmc, No. 137

***

No. 10
Material: AcGeIr
Method: DFT, PBE-GGA
State: optimized geometry

Geometry as extended XYZ:
```
9
Lattice="4.0542 0.0000 0.0000 -2.0271 3.5110 0.0000 0.0000 0.0000 16.5095" Properties=species:S:1:pos:R:3 pbc="T T T"
Ac 0.0000 0.0000 0.0000
Ac 0.0000 2.3407 11.0063
Ac 2.0271 1.1703 5.5032
Ge 0.0000 0.0000 3.1205
Ge 0.0000 2.3407 14.1268
Ge 2.0271 1.1703 8.6236
Ir 0.0000 0.0000 13.2255
Ir 0.0000 2.3407 7.7223
Ir 2.0271 1.1703 2.2192
```

Output
Space group: R3m, No. 160
Relative energy among the computed polymorphs: 36.3 kJ/mol of atoms

***

No. 11
Material: AcMgGeIr
Method: DFT, PBE-GGA
State: optimized geometry

Geometry as extended XYZ:
```
16
Lattice="7.1386 0.0000 0.0000 0.0000 7.1386 0.0000 0.0000 0.0000 7.1386" Properties=species:S:1:pos:R:3 pbc="T T T"
Ac 0.0000 0.0000 0.0000
Ac 0.0000 3.5693 3.5693
Ac 3.5693 0.0000 3.5693
Ac 3.5693 3.5693 0.0000
Mg 0.0000 0.0000 3.5693
Mg 0.0000 3.5693 0.0000
Mg 3.5693 0.0000 0.0000
Mg 3.5693 3.5693 3.5693
Ge 1.7847 1.7847 1.7847
Ge 1.7847 5.3540 5.3540
Ge 5.3540 1.7847 5.3540
Ge 5.3540 5.3540 1.7847
Ir 1.7847 1.7847 5.3540
Ir 1.7847 5.3540 1.7847
Ir 5.3540 1.7847 1.7847
Ir 5.3540 5.3540 5.3540
```

Output
Space group: F-43m, No. 216
Relative energy among the computed polymorphs: 24.9 kJ/mol of atoms

***

No. 12
Material: AcMgGeIr
Method: DFT, PBE-GGA
State: optimized geometry

Geometry as extended XYZ:
```
8
Lattice="4.2605 0.0000 0.0000 0.0000 4.2605 0.0000 0.0000 0.0000 10.3611" Properties=species:S:1:pos:R:3 pbc="T T T"
Ac 1.0651 1.0651 2.3955
Ac 3.1954 3.1954 7.9657
Mg 1.0651 3.1954 5.1806
Mg 3.1954 1.0651 5.1806
Ge 1.0651 1.0651 9.6487
Ge 3.1954 3.1954 0.7125
Ir 1.0651 1.0651 7.1057
Ir 3.1954 3.1954 3.2554
```

Output
Space group: P4/nmm, No. 129
Relative energy among the computed polymorphs: 0.0 kJ/mol of atoms

***

Per-record energy relative to the elements, eV/atom: -0.619, -0.631, -0.612, -0.413, -0.727, -0.735, -0.311, -0.697, -0.411, -0.437, -0.220, -0.478